Compound: PrTmAg2
Source: Alexandria
Functional: PBE
Structure: relaxed

```
data_PrTmAg2
_chemical_formula_sum 'Pr1 Tm1 Ag2'
_symmetry_space_group_name_H-M 'P 1'
_symmetry_Int_Tables_number 1
_symmetry_space_group_name_Hall 'P 1'
_cell_length_a 3.628
_cell_length_b 3.628
_cell_length_c 7.575
_cell_angle_alpha 90.00
_cell_angle_beta 90.00
_cell_angle_gamma 90.00
loop_
_atom_site_label
_atom_site_fract_x
_atom_site_fract_y
_atom_site_fract_z
_atom_site_occupancy
Pr1 0.500 0.500 0.500 1
Tm1 0.500 0.500 0.000 1
Ag1 0.000 0.000 0.778 1
Ag2 0.000 0.000 0.222 1
```

Values from the calculation:
DFT formation energy in eV/atom: -0.30
M_tot in μB/f.u.: 0.0
E in eV per atom: -4.0374